1.
Below is a relaxed structure of SiPt2Rh, with properties calculated at the GGA-PBEsol level.

abc: 2.8138 2.8138 6.9951
angles: 90.00 90.00 90.00
Fractional coordinates of all 4 atoms:
Si  0.5000  0.5000  0.7400
Pt  0.5000  0.5000  0.2559
Pt  0.0000  0.0000  0.9620
Rh  0.0000  0.0000  0.5422

Output
The uncorrected formation energy comes out at -447 meV/atom. The symmetry is P4mm.


2.
Below is a relaxed structure of TcOsAu, with properties calculated at the GGA-PBEsol level.

abc: 2.8242 4.3222 4.3222
angles: 120.00 90.00 90.00
Fractional coordinates of all 3 atoms:
Tc  0.5408  0.3333  0.6667
Au  0.0025  0.0000  0.0000
Os  0.4567  0.6667  0.3333

Output
The value obtained for the calculated formation energy is 530 meV/atom. The symmetry is P3m1.